Density functional theory data (PBE) for an optimized crystal structure of TbSm3Tm8.

Cell lengths 8.566, 8.566, 8.566 Å; angles 97.42, 98.49, 136.32 degrees
Atoms (fractional coordinates):
Sm: 0.500 0.748 0.248
Sm: 0.500 0.252 0.752
Sm: 0.000 0.500 0.500
Tm: 0.997 0.749 0.248
Tm: 0.831 0.750 0.581
Tm: 0.169 0.250 0.419
Tm: 0.831 0.250 0.080
Tm: 0.169 0.750 0.920
Tm: 0.499 0.251 0.248
Tm: 0.501 0.749 0.752
Tm: 0.003 0.251 0.752
Tb: 0.000 0.000 0.000

Results
Electronic total energy in eV/cell: -50.9
Formation energy from the elements in eV per atom: 0.304
Total magnetic moment in μB per cell: 0.0



Density functional theory data (PBE) for an optimized crystal structure of BeSb2Br.

Cell lengths 5.287, 5.287, 3.297 Å; angles 90.00, 90.00, 90.06 degrees
Atoms (fractional coordinates):
Br: 0.000 0.500 0.500
Be: 0.500 0.000 0.500
Sb: 0.000 0.000 0.000
Sb: 0.500 0.500 0.000

Results
Electronic total energy in eV/cell: -11.2
Total magnetic moment in μB per cell: 0.0
Excess energy over the best structure of this formula in the dataset in eV per atom: 0.673
Formation energy from raw total energies in eV/atom: 0.60



Density functional theory data (PBE) for an optimized crystal structure of YSc2Se.

Cell lengths 4.322, 3.815, 6.029 Å; angles 71.52, 90.00, 90.00 degrees
Atoms (fractional coordinates):
Y: 0.500 0.721 0.682
Sc: 0.000 0.028 0.069
Sc: 0.500 0.449 0.227
Se: 0.000 0.301 0.523

Results
Electronic total energy in eV/cell: -25.3
Total magnetic moment in μB per cell: 0.0
Formation energy from raw total energies in eV/atom: -0.68